{"formula": "Ac2Hg2PdO2", "functional": "PBE-GGA", "state": "optimized geometry", "raw_formation_energy_ev_per_atom": -1.43, "lattice": [[-4.111, -0.118, -0.288], [2.005, -2.933, 2.092], [-1.005, 7.376, 11.307]], "species": ["Ac", "Ac", "Hg", "Hg", "Pd", "O", "O"], "frac_coords": [[0.667, 0.333, 0.381], [0.333, 0.667, 0.619], [0.000, 0.000, 0.194], [0.000, 0.000, 0.806], [0.000, 0.000, 0.000], [0.667, 0.333, 0.568], [0.333, 0.667, 0.432]]}